Computed, not measured: a geometry-optimized KLi4FeO5 structure at the PBE+U level of DFT.

Raw total energy   -5.078 eV/atom

a = 5.707 Å, b = 5.812 Å, c = 7.915 Å
α = 89.24°, β = 102.15°, γ = 118.32°
Last column: magnetic moment on the atom in μB.
Element x y z (fractional)
K 0.404 0.253 0.590  0.00
K 0.596 0.747 0.410  0.00
Li 0.356 0.577 0.881  0.00
Li 0.341 0.007 0.878  0.01
Li 0.912 0.588 0.868  0.01
Li 0.116 0.701 0.584  -0.01
Li 0.884 0.299 0.416  -0.01
Li 0.088 0.412 0.132  0.01
Li 0.659 0.993 0.122  0.01
Li 0.644 0.423 0.119  0.00
Fe 0.855 0.055 0.822  3.50
Fe 0.145 0.945 0.178  3.50
O 0.219 0.221 0.993  -0.13
O 0.737 0.243 0.950  -0.05
O 0.489 0.843 0.708  -0.06
O 0.974 0.865 0.708  -0.02
O 0.983 0.346 0.682  -0.11
O 0.017 0.654 0.318  -0.11
O 0.026 0.135 0.292  -0.02
O 0.511 0.157 0.292  -0.06
O 0.263 0.757 0.050  -0.05
O 0.781 0.779 0.007  -0.13